1.
The following is a DFT calculation (PBE) of a geometry-optimized PbSeBr2N structure.

As for the final energy: -3.179 eV/atom. The calculation puts the relative energy among the computed polymorphs at 0 meV/atom. For the uncorrected formation energy, the calculation gives 0.594 eV/atom.

The structure belongs to space group P4/mmm (No. 123); the cell edges are 4.8870, 4.8870 and 4.8986 Å and the angles 90.00°, 90.00° and 90.00°. The inequivalent atoms are Pb at (0.0000, 0.0000, 0.0000), Se at (0.5000, 0.5000, 0.0000), Br at (0.0000, 0.5000, 0.5000) and N at (0.5000, 0.5000, 0.5000).

2.
The following is a DFT calculation (PBE) of a geometry-optimized K3Ag5F12 structure.

As for the final energy: -3.607 eV/atom. For the uncorrected formation energy, the calculation gives -1.607 eV/atom.

The structure belongs to space group Ia-3d (No. 230); the cell edges are 14.3537, 14.3537 and 14.3537 Å and the angles 90.00°, 90.00° and 90.00°. The inequivalent atoms are K at (0.0000, 0.2500, 0.1250), Ag at (0.0000, 0.0000, 0.0000), Ag at (0.0000, 0.2500, 0.3750) and F at (0.0254, 0.0503, 0.6415).

3.
The following is a DFT calculation (PBE) of a geometry-optimized TmNiAgAu structure.

The calculation puts the formation energy at -0.354 eV per atom. As for the final energy: -4.449 eV/atom.

The structure belongs to space group F-43m (No. 216); the cell edges are 6.6393, 6.6393 and 6.6393 Å and the angles 90.00°, 90.00° and 90.00°. The inequivalent atoms are Tm at (0.0000, 0.0000, 0.0000), Ni at (0.2500, 0.2500, 0.2500), Ag at (0.0000, 0.0000, 0.5000) and Au at (0.2500, 0.2500, 0.7500).

4.
The following is a DFT calculation (PBE) of a geometry-optimized LiN3Cl structure.

As for the final energy: -3.031 eV/atom. For the uncorrected formation energy, the calculation gives 2.716 eV/atom.

The structure belongs to space group Pm-3m (No. 221); the cell edges are 3.9023, 3.9023 and 3.9023 Å and the angles 90.00°, 90.00° and 90.00°. The inequivalent atoms are Li at (0.0000, 0.0000, 0.0000), N at (0.0000, 0.0000, 0.5000) and Cl at (0.5000, 0.5000, 0.5000).

5.
The following is a DFT calculation (PBE) of a geometry-optimized Tb6Tm2Mg structure.

The calculation puts the formation energy at 0.023 eV per atom. As for the final energy: -4.234 eV/atom. The calculation puts the relative energy among the computed polymorphs at 0 meV/atom.

The structure belongs to space group P4_2/mnm (No. 136); the cell edges are 10.4907, 10.4907 and 5.0177 Å and the angles 90.00°, 90.00° and 90.00°. The inequivalent atoms are Tb at (0.0006, 0.3336, 0.0000), Tb at (0.1646, 0.8354, 0.5000), Tm at (0.1680, 0.1680, 0.5000) and Mg at (0.0000, 0.0000, 0.0000).

6.
The following is a DFT calculation (PBE) of a geometry-optimized CsBiSb2 structure.

As for the final energy: -3.346 eV/atom. For the uncorrected formation energy, the calculation gives -0.101 eV/atom.

The structure belongs to space group R-3m (No. 166, hexagonal axes); the cell edges are 5.3741, 5.3741 and 20.2033 Å and the angles 90.00°, 90.00° and 120.00°. The inequivalent atoms are Cs at (0.0000, 0.0000, 0.0000), Bi at (0.0000, 0.0000, 0.5000) and Sb at (0.0000, 0.0000, 0.2018).

7.
The following is a DFT calculation (PBE) of a geometry-optimized ZrV2IrI structure.

As for the final energy: -5.494 eV/atom. For the uncorrected formation energy, the calculation gives 1.945 eV/atom.

The structure belongs to space group P4/mmm (No. 123); the cell edges are 4.6375, 4.6375 and 5.3115 Å and the angles 90.00°, 90.00° and 90.00°. The inequivalent atoms are Zr at (0.0000, 0.0000, 0.0000), V at (0.0000, 0.5000, 0.0000), Ir at (0.5000, 0.5000, 0.5000) and I at (0.0000, 0.0000, 0.5000).

8.
The following is a DFT calculation (PBE) of a geometry-optimized LiCeLu2 structure.

The calculation puts the formation energy at 0.120 eV per atom. As for the final energy: -4.103 eV/atom. The calculation puts the relative energy among the computed polymorphs at 0 meV/atom.

The structure belongs to space group P4/mmm (No. 123); the cell edges are 3.5395, 3.5395 and 8.4533 Å and the angles 90.00°, 90.00° and 90.00°. The inequivalent atoms are Li at (0.0000, 0.0000, 0.0000), Ce at (0.0000, 0.0000, 0.5000) and Lu at (0.5000, 0.5000, 0.2276).

9.
The following is a DFT calculation (PBE) of a geometry-optimized La16Pr6Er7 structure.

The calculation puts the formation energy at 0.176 eV per atom. As for the final energy: -4.633 eV/atom.

The structure belongs to space group Fm-3m (No. 225); the cell edges are 16.1183, 16.1183 and 16.1183 Å and the angles 90.00°, 90.00° and 90.00°. The inequivalent atoms are La at (0.1206, 0.1206, 0.1206), La at (0.1549, 0.1549, 0.3451), Pr at (0.0000, 0.0000, 0.3001), Er at (0.0000, 0.0000, 0.0000) and Er at (0.0000, 0.2500, 0.2500).

10.
The following is a DFT calculation (PBE) of a geometry-optimized K3RbNb structure.

The calculation puts the formation energy at 1.405 eV per atom. As for the final energy: -1.461 eV/atom. The calculation puts the relative energy among the computed polymorphs at 451 meV/atom.

The structure belongs to space group Pm-3m (No. 221); the cell edges are 7.0159, 7.0159 and 7.0159 Å and the angles 90.00°, 90.00° and 90.00°. The inequivalent atoms are K at (0.0000, 0.0000, 0.5000), Rb at (0.0000, 0.0000, 0.0000) and Nb at (0.5000, 0.5000, 0.5000).

11.
The following is a DFT calculation (PBE) of a geometry-optimized MgCd7Hg6 structure.

The calculation puts the formation energy at 0.014 eV per atom. As for the final energy: -0.686 eV/atom.

The structure belongs to space group Ibam (No. 72); the cell edges are 6.1873, 19.8239 and 11.3682 Å and the angles 90.00°, 90.00° and 90.00°. The inequivalent atoms are Mg at (0.0000, 0.0000, 0.2500), Cd at (0.0000, 0.5000, 0.2500), Cd at (0.1132, 0.2362, 0.1294), Cd at (0.2391, 0.0103, 0.5000), Hg at (0.1257, 0.3694, 0.5000) and Hg at (0.2311, 0.1238, 0.3183).

12.
The following is a DFT calculation (PBE) of a geometry-optimized K3PPt4 structure.

The calculation puts the formation energy at -0.145 eV per atom. As for the final energy: -4.254 eV/atom.

The structure belongs to space group Pmmn (No. 59, origin choice 2); the cell edges are 5.6330, 12.9887 and 5.7448 Å and the angles 90.00°, 90.00° and 90.00°. The inequivalent atoms are K at (0.2500, 0.0049, 0.1972), K at (0.2500, 0.2500, 0.4775), P at (0.2500, 0.7500, 0.3323), Pt at (0.0028, 0.2500, 0.9758) and Pt at (0.2500, 0.6471, 0.6560).

Number 1: theoretical density 6.5 g/cm³. Number 2: theoretical density 4.0 g/cm³. Number 3: theoretical density 12.1 g/cm³. Number 4: theoretical density 2.4 g/cm³. Number 5: theoretical density 7.9 g/cm³. Number 6: theoretical density 5.8 g/cm³. Number 7: theoretical density 7.4 g/cm³. Number 8: theoretical density 7.8 g/cm³. Number 9: theoretical density 6.7 g/cm³. Number 10: theoretical density 1.4 g/cm³. Number 11: theoretical density 9.6 g/cm³. Number 12: theoretical density 7.3 g/cm³.